# 1
VASP calculation (PBE) on Dy2Sc3Pt4 after structural relaxation.

For the total energy, the calculation gives -7.0144 eV per atom. As for the calculated volume: 20.8 A^3/atom. The formation energy comes out at -1.20 eV/atom. The magnetization is 0.00 μB/f.u. As for the offset from the most stable computed form: 0.0 meV/atom.

The space group is P2_1/c (No. 14) and the conventional cell measures 7.292, 7.357 and 7.456 Å, with angles of 90.00, 110.46 and 90.00 degrees. Symmetry generates all atoms from Dy at (0.192, 0.175, 0.069), Sc at (0.249, 0.663, 0.247), Sc at (0.500, 0.000, 0.500), Pt at (0.086, 0.544, 0.853) and Pt at (0.499, 0.138, 0.869).

---

# 2
VASP calculation (PBE) on DySc2Pt after structural relaxation.

For the total energy, the calculation gives -6.5253 eV per atom. As for the calculated volume: 23.7 A^3/atom. The formation energy comes out at -0.70 eV/atom. The magnetization is 0.00 μB/f.u. As for the offset from the most stable computed form: 3.8 meV/atom.

The space group is Cmcm (No. 63) and the conventional cell measures 4.561, 11.248 and 7.397 Å, with angles of 90.00, 90.00 and 90.00 degrees. Symmetry generates all atoms from Dy at (0.000, 0.053, 0.250), Sc at (0.000, 0.346, 0.043) and Pt at (0.000, 0.199, 0.750).

---

# 3
VASP calculation (PBE) on Dy5Sc4Pt4 after structural relaxation.

For the total energy, the calculation gives -6.4507 eV per atom. As for the calculated volume: 23.2 A^3/atom. The formation energy comes out at -0.87 eV/atom. The magnetization is 0.01 μB/f.u.

The space group is I4/m (No. 87) and the conventional cell measures 11.459, 11.459 and 4.595 Å, with angles of 90.00, 90.00 and 90.00 degrees. Symmetry generates all atoms from Dy at (0.000, 0.000, 0.000), Dy at (0.127, 0.191, 0.500), Sc at (0.095, 0.603, 0.500) and Pt at (0.081, 0.745, 0.000).

---

# 4
VASP calculation (PBE) on Dy3ScPt12 after structural relaxation.

For the total energy, the calculation gives -6.8272 eV per atom. As for the calculated volume: 17.1 A^3/atom. The formation energy comes out at -1.04 eV/atom. The magnetization is 0.00 μB/f.u.

The space group is P4/mmm (No. 123) and the conventional cell measures 4.098, 4.098 and 16.321 Å, with angles of 90.00, 90.00 and 90.00 degrees. Symmetry generates all atoms from Dy at (0.000, 0.000, 0.000), Dy at (0.000, 0.000, 0.253), Sc at (0.000, 0.000, 0.500), Pt at (0.000, 0.500, 0.127), Pt at (0.000, 0.500, 0.381), Pt at (0.500, 0.500, 0.000), Pt at (0.500, 0.500, 0.254) and Pt at (0.500, 0.500, 0.500).

---

# 5
VASP calculation (PBE) on DySc2Pt after structural relaxation.

For the total energy, the calculation gives -6.2498 eV per atom. As for the calculated volume: 25.2 A^3/atom. The formation energy comes out at -0.42 eV/atom. The magnetization is 0.00 μB/f.u. As for the offset from the most stable computed form: 279.2 meV/atom.

The space group is R-3m (No. 166, hexagonal axes) and the conventional cell measures 3.5725, 3.5725 and 27.3491 Å, with angles of 90.00, 90.00 and 120.00 degrees. Symmetry generates all atoms from Dy at (0.0000, 0.0000, 0.0000), Sc at (0.0000, 0.0000, 0.2291) and Pt at (0.0000, 0.0000, 0.5000).

---

# 6
VASP calculation (PBE) on DyScPt4 after structural relaxation.

For the total energy, the calculation gives -6.8937 eV per atom. As for the calculated volume: 18.3 A^3/atom. The formation energy comes out at -1.04 eV/atom. The magnetization is 0.00 μB/f.u. As for the offset from the most stable computed form: 0.0 meV/atom.

The space group is F-43m (No. 216) and the conventional cell measures 7.607, 7.607 and 7.607 Å, with angles of 90.00, 90.00 and 90.00 degrees. Symmetry generates all atoms from Dy at (0.000, 0.000, 0.000), Sc at (0.250, 0.250, 0.750) and Pt at (0.125, 0.125, 0.375).

---

- Look up the magnetization of the first one.
  0.00 μB/f.u.